Computed, not measured: NbCoPd after structural relaxation at the PBE level of DFT.

Computed properties:
energy above the most stable polymorph in this dataset: 205.7 meV/atom
size of the total moment: 0.44 μB per formula unit
V: 44.17 Å³/f.u.

Geometry as POSCAR:
```
NbCoPd
1.0
4.321 0.000 0.000
-2.161 3.742 0.000
0.000 0.000 2.732
Nb Co Pd
1 1 1
Cartesian
0.000 0.000 0.000 Nb
0.000 2.495 0.570 Co
2.161 1.247 1.646 Pd
```



Computed, not measured: PrAlCu after structural relaxation at the PBE level of DFT.

Computed properties:
size of the total moment: 0.00 μB per formula unit
V: 66.69 Å³/f.u.
DFT total energy: -4.54 eV per atom

Geometry as POSCAR:
```
PrAlCu
1.0
4.408 0.000 0.000
0.000 4.408 0.000
0.000 0.000 6.863
Pr Al Cu
2 2 2
Cartesian
1.102 1.102 1.256 Pr
3.306 3.306 5.606 Pr
1.102 1.102 4.704 Al
3.306 3.306 2.159 Al
1.102 3.306 3.431 Cu
3.306 1.102 3.431 Cu
```



Computed, not measured: RbCuRu2O8 after structural relaxation at the PBE level of DFT.

Computed properties:
ΔE_f (raw): -85 kJ/mol of atoms
size of the total moment: 1.92 μB per formula unit
V: 202.81 Å³/f.u.

Geometry as POSCAR:
```
RbCuRu2O8
1.0
2.601 1.502 8.654
-2.601 1.502 8.654
0.000 -3.003 8.654
Rb Cu Ru O
1 1 2 8
Cartesian
0.000 0.000 0.000 Rb
0.000 0.000 12.981 Cu
0.000 0.000 6.116 Ru
0.000 0.000 19.846 Ru
-0.930 -1.378 11.780 O
-1.659 0.116 14.182 O
0.000 0.000 7.876 O
-0.728 1.495 11.780 O
0.728 -1.495 14.182 O
0.000 0.000 18.086 O
1.659 -0.116 11.780 O
0.930 1.378 14.182 O
```



Computed, not measured: LaTa2Pt after structural relaxation at the PBE level of DFT.

Computed properties:
energy above the most stable polymorph in this dataset: 321.1 meV/atom
size of the total moment: 0.00 μB per formula unit
V: 84.03 Å³/f.u.

Geometry as POSCAR:
```
LaTa2Pt
1.0
4.094 0.000 0.000
0.000 4.094 0.000
0.000 0.000 5.012
La Ta Pt
1 2 1
Cartesian
0.000 0.000 0.000 La
0.000 2.047 2.506 Ta
2.047 0.000 2.506 Ta
2.047 2.047 0.000 Pt
```



Computed, not measured: V2RhW after structural relaxation at the PBE level of DFT.

Computed properties:
size of the total moment: 0.00 μB per formula unit
V: 61.58 Å³/f.u.
DFT total energy: -9.16 eV per atom

Geometry as POSCAR:
```
V2RhW
1.0
-3.448 3.448 2.590
3.448 -3.448 2.590
3.448 3.448 -2.590
V Rh W
4 2 2
Cartesian
5.172 1.652 -0.647 V
1.652 1.724 0.647 V
-1.724 1.796 1.942 V
1.796 1.724 3.237 V
0.000 0.000 0.000 Rh
0.000 3.448 1.295 Rh
3.448 0.000 1.295 W
0.000 0.000 2.590 W
```



Computed, not measured: Ce2DyHoS4 after structural relaxation at the PBE level of DFT.

Computed properties:
ΔE_f (raw): -196 kJ/mol of atoms
size of the total moment: 1.56 μB per formula unit
V: 175.74 Å³/f.u.

Geometry as POSCAR:
```
Ce2DyHoS4
1.0
6.824 0.000 0.000
0.000 3.934 0.000
-2.272 0.000 6.546
Ce Dy Ho S
2 1 1 4
Cartesian
0.000 0.000 0.000 Ce
3.412 1.967 0.000 Ce
-1.136 1.967 3.273 Dy
2.276 0.000 3.273 Ho
0.008 0.000 4.827 S
1.144 1.967 1.723 S
3.407 1.967 4.823 S
4.543 0.000 1.719 S
```